Arrangement P

HfCd3Ni after structural relaxation. Source: Alexandria via LeMat-Bulk, functional PBE.

extended XYZ file:
```
5
Lattice="4.794 0.000 0.000 0.000 4.794 0.000 0.000 0.000 4.794" Properties=species:S:1:pos:R:3 pbc="T T T"
Hf 0.000 0.000 0.000
Cd 0.000 2.397 2.397
Cd 2.397 0.000 2.397
Cd 2.397 2.397 0.000
Ni 2.397 2.397 2.397
```

***

Arrangement Q

HfCd3Ni after structural relaxation. Source: Alexandria via LeMat-Bulk, functional PBE.

extended XYZ file:
```
5
Lattice="5.520 0.000 0.000 0.000 5.520 0.000 0.000 0.000 5.520" Properties=species:S:1:pos:R:3 pbc="T T T"
Hf 0.000 0.000 0.000
Cd 0.000 0.000 2.760
Cd 0.000 2.760 0.000
Cd 2.760 0.000 0.000
Ni 2.760 2.760 2.760
```

***

It turns out arrangement P is the most stable, with the second structure 0.960 eV/atom higher.

***

Arrangement P

Hf2Cd2O after structural relaxation. Source: Alexandria via LeMat-Bulk, functional PBE.

extended XYZ file:
```
5
Lattice="-1.821 1.821 7.769 1.821 -1.821 7.769 1.821 1.821 -7.769" Properties=species:S:1:pos:R:3 pbc="T T T"
Hf 0.000 0.000 1.408
Hf 0.000 0.000 14.129
Cd 1.821 0.000 3.884
Cd 0.000 1.821 3.884
O 0.000 0.000 7.769
```

***

Arrangement Q

Hf2Cd2O after structural relaxation. Source: Alexandria via LeMat-Bulk, functional PBE.

extended XYZ file:
```
10
Lattice="5.954 0.000 0.000 0.000 5.954 0.000 0.000 0.000 5.402" Properties=species:S:1:pos:R:3 pbc="T T T"
Hf 1.033 1.943 0.000
Hf 1.943 4.920 0.000
Hf 4.010 1.033 0.000
Hf 4.920 4.010 0.000
Cd 0.969 3.946 2.701
Cd 2.008 0.969 2.701
Cd 3.946 4.985 2.701
Cd 4.985 2.008 2.701
O 0.000 0.000 0.000
O 2.977 2.977 0.000
```

***

It turns out arrangement Q is the most stable, with the second structure 1.350 eV/atom higher.

***

Arrangement P

Hf2Cd2O after structural relaxation. Source: Alexandria via LeMat-Bulk, functional PBE.

extended XYZ file:
```
10
Lattice="6.124 0.000 0.000 0.000 6.124 0.000 0.000 0.000 5.304" Properties=species:S:1:pos:R:3 pbc="T T T"
Hf 1.024 2.038 0.000
Hf 2.038 5.100 0.000
Hf 4.086 1.024 0.000
Hf 5.100 4.086 0.000
Cd 0.949 4.011 2.652
Cd 2.113 0.949 2.652
Cd 4.011 5.175 2.652
Cd 5.175 2.113 2.652
O 0.000 0.000 2.652
O 3.062 3.062 2.652
```

***

Arrangement Q

Hf2Cd2O after structural relaxation. Source: Alexandria via LeMat-Bulk, functional PBE.

extended XYZ file:
```
5
Lattice="-1.879 1.879 7.887 1.879 -1.879 7.887 1.879 1.879 -7.887" Properties=species:S:1:pos:R:3 pbc="T T T"
Hf 1.879 0.000 3.944
Hf 0.000 1.879 3.944
Cd 0.000 0.000 1.378
Cd 0.000 0.000 14.396
O 0.000 0.000 7.887
```

***

It turns out arrangement P is the most stable, with the second structure 0.448 eV/atom higher.

***

Arrangement P

HfCdPO2 after structural relaxation. Source: Alexandria via LeMat-Bulk, functional PBE.

extended XYZ file:
```
5
Lattice="4.044 0.000 0.000 0.000 4.044 0.000 0.000 0.000 4.978" Properties=species:S:1:pos:R:3 pbc="T T T"
Hf 0.000 0.000 0.000
Cd 2.022 2.022 2.489
P 2.022 2.022 0.000
O 0.000 2.022 2.489
O 2.022 0.000 2.489
```

***

Arrangement Q

HfCdPO2 after structural relaxation. Source: Alexandria via LeMat-Bulk, functional PBE.

extended XYZ file:
```
5
Lattice="4.005 0.000 0.000 0.000 4.005 0.000 0.000 0.000 5.566" Properties=species:S:1:pos:R:3 pbc="T T T"
Hf 0.000 0.000 0.000
Cd 2.003 2.003 2.783
P 0.000 0.000 2.783
O 0.000 2.003 0.000
O 2.003 0.000 0.000
```

***

It turns out arrangement Q is the most stable, with the second structure 1.453 eV/atom higher.

***

Arrangement P

HfCdTeO2 after structural relaxation. Source: Alexandria via LeMat-Bulk, functional PBE.

extended XYZ file:
```
5
Lattice="4.183 0.000 0.000 0.000 4.183 0.000 0.000 0.000 5.540" Properties=species:S:1:pos:R:3 pbc="T T T"
Hf 0.000 0.000 0.000
Cd 2.092 2.092 0.000
Te 2.092 2.092 2.770
O 0.000 2.092 2.770
O 2.092 0.000 2.770
```

***

Arrangement Q

HfCdTeO2 after structural relaxation. Source: Alexandria via LeMat-Bulk, functional PBE.

extended XYZ file:
```
5
Lattice="4.029 0.000 0.000 0.000 4.029 0.000 0.000 0.000 8.158" Properties=species:S:1:pos:R:3 pbc="T T T"
Hf 0.000 0.000 0.000
Cd 0.000 0.000 4.079
Te 2.014 2.014 4.079
O 0.000 2.014 0.000
O 2.014 0.000 0.000
```

***

It turns out arrangement Q is the most stable, with the second structure 1.612 eV/atom higher.

***

Arrangement P

HfCdOs3 after structural relaxation. Source: Alexandria via LeMat-Bulk, functional PBE.

extended XYZ file:
```
5
Lattice="4.826 0.000 0.000 0.000 4.826 0.000 0.000 0.000 4.826" Properties=species:S:1:pos:R:3 pbc="T T T"
Hf 0.000 0.000 0.000
Cd 2.413 2.413 2.413
Os 0.000 0.000 2.413
Os 0.000 2.413 0.000
Os 2.413 0.000 0.000
```

***

Arrangement Q

HfCdOs3 after structural relaxation. Source: Alexandria via LeMat-Bulk, functional PBE.

extended XYZ file:
```
5
Lattice="4.733 0.000 0.000 0.000 4.733 0.000 0.000 0.000 4.733" Properties=species:S:1:pos:R:3 pbc="T T T"
Hf 0.000 0.000 0.000
Cd 2.367 2.367 2.367
Os 0.000 2.367 2.367
Os 2.367 0.000 2.367
Os 2.367 2.367 0.000
```

***

It turns out arrangement P is the most stable, with the second structure 0.279 eV/atom higher.